First-principles (PBEsol) data for a geometry-optimized MgAg structure, as listed in the Alexandria database.

Cell: 6.0929 6.0929 6.0929 Å, 90.00 90.00 90.00°
Space group F-43m (No. 216)
Unique sites:
Mg: 0.0000 0.0000 0.0000
Ag: 0.2500 0.2500 0.2500

Output
Calculated volume ... 226 Å³ per cell
Total magnetic moment ... 0.00 μB per cell
DFT formation energy ... 541 meV/atom
D(E_F) ... 0.320 states/eV/atom
Electronic total energy ... -1.9734 eV per atom